1.
# GGA-PBE Sc2Hg2W, relaxed
# Magnetic moment = 0.2058 μB per atom
# Formation energy from the elements = 390 kJ/mol of formula units
# Space group = No. 139
data_Sc2Hg2W
_chemical_formula_sum 'Sc2 Hg2 W1'
_cell_length_a 4.040
_cell_length_b 4.040
_cell_length_c 7.141
_cell_angle_alpha 73.57
_cell_angle_beta 73.57
_cell_angle_gamma 90.00
_space_group_name_H-M_alt 'P 1'
_space_group_IT_number 1
_space_group_name_Hall 'P 1'
loop_
_atom_site_label
_atom_site_fract_x
_atom_site_fract_y
_atom_site_fract_z
_atom_site_occupancy
Hg1 0.400 0.400 0.200 1
Hg2 0.600 0.600 0.800 1
W1 0.000 0.000 0.000 1
Sc1 0.750 0.250 0.500 1
Sc2 0.250 0.750 0.500 1

2.
# GGA-PBE ZrMo2Se, relaxed
# Magnetic moment = 0.0006 μB per atom
# Space group = No. 119
# Raw formation energy = 176 meV per atom
data_ZrMo2Se
_chemical_formula_sum 'Zr1 Mo2 Se1'
_cell_length_a 5.363
_cell_length_b 5.363
_cell_length_c 5.363
_cell_angle_alpha 137.92
_cell_angle_beta 137.92
_cell_angle_gamma 61.03
_space_group_name_H-M_alt 'P 1'
_space_group_IT_number 1
_space_group_name_Hall 'P 1'
loop_
_atom_site_label
_atom_site_fract_x
_atom_site_fract_y
_atom_site_fract_z
_atom_site_occupancy
Zr1 0.750 0.250 0.500 1
Mo1 0.250 0.750 0.500 1
Mo2 0.000 0.000 0.000 1
Se1 0.500 0.500 0.000 1

The highest magnetic moment belongs to which entry? Sc2Hg2W